(1)
Crystalline SrAsPd2W at its relaxed geometry, computed with PBE.

Unit cell a=4.792 b=5.902 c=4.792 alpha=90.00 beta=90.00 gamma=90.00
Fractional positions:
Sr  0.000  0.500  0.000
Pd  0.000  0.000  0.500
Pd  0.500  0.000  0.000
W  0.000  0.000  0.000
As  0.500  0.500  0.500

Summary:
- mass density (g/cm³) = 6.85
- formation energy (eV/atom) = 1.03
- space-group type = P4/mmm
- V (Å³/atom) = 27.11

=====

(2)
Crystalline SrYAs2Pd5 at its relaxed geometry, computed with PBE.

Unit cell a=4.378 b=4.378 c=8.977 alpha=90.00 beta=90.00 gamma=90.00
Fractional positions:
Pd  0.500  0.500  0.500
Pd  0.500  0.000  0.738
Pd  0.500  0.000  0.262
Pd  0.000  0.500  0.262
Pd  0.000  0.500  0.738
As  0.500  0.500  0.862
As  0.500  0.500  0.138
Y  0.000  0.000  0.000
Sr  0.000  0.000  0.500

Summary:
- mass density (g/cm³) = 8.28
- formation energy (eV/atom) = -0.67
- space-group type = P4/mmm
- V (Å³/atom) = 19.12

=====

(3)
Crystalline Sr2ZnAs3Pd4 at its relaxed geometry, computed with PBE.

Unit cell a=4.447 b=4.447 c=10.209 alpha=90.00 beta=90.00 gamma=90.00
Fractional positions:
Sr  0.000  0.500  0.752
Sr  0.500  0.000  0.248
As  0.000  0.500  0.130
As  0.500  0.000  0.870
As  0.000  0.000  0.500
Pd  0.000  0.000  0.000
Pd  0.500  0.000  0.624
Pd  0.500  0.500  0.000
Pd  0.000  0.500  0.376
Zn  0.500  0.500  0.500

Summary:
- mass density (g/cm³) = 7.33
- formation energy (eV/atom) = -0.76
- space-group type = P-4m2
- V (Å³/atom) = 20.19

=====

(4)
Crystalline SrZnAs2Pd at its relaxed geometry, computed with PBE.

Unit cell a=4.184 b=4.184 c=6.686 alpha=108.24 beta=108.24 gamma=90.00
Fractional positions:
As  0.378  0.378  0.757
As  0.622  0.622  0.243
Pd  0.750  0.250  0.500
Sr  0.000  0.000  0.000
Zn  0.250  0.750  0.500

Summary:
- mass density (g/cm³) = 6.48
- formation energy (eV/atom) = -0.65
- space-group type = I-4m2
- V (Å³/atom) = 20.99

=====

(5)
Crystalline SrZnAs2Pd5 at its relaxed geometry, computed with PBE.

Unit cell a=4.248 b=4.248 c=10.279 alpha=90.00 beta=90.00 gamma=90.00
Fractional positions:
Pd  0.500  0.000  0.853
Pd  0.500  0.500  0.500
Pd  0.500  0.000  0.147
Pd  0.000  0.500  0.853
Pd  0.000  0.500  0.147
As  0.500  0.500  0.733
As  0.500  0.500  0.267
Sr  0.000  0.000  0.500
Zn  0.000  0.000  0.000

Summary:
- mass density (g/cm³) = 7.47
- formation energy (eV/atom) = -0.47
- space-group type = P4/mmm
- V (Å³/atom) = 20.61

=====

(6)
Crystalline Sr3ZnAs2Pd9 at its relaxed geometry, computed with PBE.

Unit cell a=6.135 b=6.135 c=10.099 alpha=90.00 beta=90.00 gamma=120.00
Fractional positions:
Pd  0.850  0.150  0.698
Pd  0.700  0.850  0.302
Pd  0.000  0.500  0.000
Pd  0.150  0.300  0.302
Pd  0.150  0.850  0.302
Pd  0.500  0.000  0.000
Pd  0.500  0.500  0.000
Pd  0.850  0.700  0.698
Pd  0.300  0.150  0.698
Sr  0.333  0.667  0.621
Sr  0.667  0.333  0.379
Sr  0.000  0.000  0.000
As  0.667  0.333  0.835
As  0.333  0.667  0.165
Zn  0.000  0.000  0.500

Summary:
- mass density (g/cm³) = 7.24
- formation energy (eV/atom) = -0.52
- space-group type = P-3m1
- V (Å³/atom) = 21.95

=====

(7)
Crystalline Sr2ZnAsPd6 at its relaxed geometry, computed with PBE.

Unit cell a=6.642 b=6.890 c=6.898 alpha=48.79 beta=75.24 gamma=95.68
Fractional positions:
Pd  0.113  0.248  0.135
Pd  0.748  0.252  0.023
Pd  0.887  0.752  0.865
Pd  0.252  0.230  0.495
Pd  0.252  0.748  0.977
Pd  0.748  0.770  0.505
Sr  0.727  0.262  0.534
Sr  0.273  0.738  0.466
As  0.500  0.500  0.000
Zn  0.000  0.000  0.000

Summary:
- mass density (g/cm³) = 7.42
- formation energy (eV/atom) = -0.56
- space-group type = P-1
- V (Å³/atom) = 21.36

=====

(8)
Crystalline Sr2ZrAs4Pd3 at its relaxed geometry, computed with PBE.

Unit cell a=4.409 b=4.409 c=11.002 alpha=90.00 beta=90.00 gamma=90.00
Fractional positions:
Zr  0.500  0.500  0.500
As  0.500  0.000  0.641
As  0.000  0.500  0.359
As  0.500  0.500  0.000
As  0.000  0.000  0.000
Sr  0.500  0.000  0.229
Sr  0.000  0.500  0.771
Pd  0.000  0.500  0.122
Pd  0.500  0.000  0.878
Pd  0.000  0.000  0.500

Summary:
- mass density (g/cm³) = 6.88
- formation energy (eV/atom) = -0.87
- space-group type = P-4m2
- V (Å³/atom) = 21.38